(1)
A plane-wave DFT calculation with PBE was carried out for Sc3AlCr after structural relaxation.

Properties
The density of states at the Fermi level comes out at 6.836 states/eV per cell. As for the volume: 112 Å³ per cell. The energy relative to the lowest polymorph listed for this composition is 0 meV/atom.

Unit cell a=4.8176 b=4.8176 c=4.8176 alpha=90.00 beta=90.00 gamma=90.00
With the nearest neighbours (Å) after each atom.
Space group Pm-3m (No. 221)
Unique sites:
1 Sc 0.0000 0.0000 0.5000 [3 per cell]  2 Cr 2.41
2 Al 0.5000 0.5000 0.5000 [1 per cell]  12 Sc 3.41
3 Cr 0.0000 0.0000 0.0000 [1 per cell]  6 Sc 2.41

***

(2)
A plane-wave DFT calculation with PBE was carried out for ScAlCr2 after structural relaxation.

Properties
The density of states at the Fermi level comes out at 16.383 states/eV per cell. For the total energy, the calculation gives -0.243 Ha/atom. As for the volume: 254 Å³ per cell.

Unit cell a=6.9816 b=6.9816 c=5.2145 alpha=90.00 beta=90.00 gamma=90.00
With the nearest neighbours (Å) after each atom.
Space group I-42d (No. 122)
Unique sites:
1 Sc 0.0000 0.0000 0.0000 [4 per cell]  2 Al 2.61, 4 Cr 2.67
2 Al 0.0000 0.0000 0.5000 [4 per cell]  4 Cr 2.44, 2 Sc 2.61
3 Cr 0.2261 0.2500 0.6250 [8 per cell]  2 Al 2.44, 2 Cr 2.63, 2 Sc 2.67

***

(3)
A plane-wave DFT calculation with PBE was carried out for ScAl2Cr after structural relaxation.

Properties
The density of states at the Fermi level comes out at 5.185 states/eV per cell. As for the volume: 128 Å³ per cell. The energy relative to the lowest polymorph listed for this composition is 156 meV/atom.

Unit cell a=5.5436 b=8.2130 c=2.8073 alpha=90.00 beta=90.15 gamma=90.00
With the nearest neighbours (Å) after each atom.
Space group C2/m (No. 12)
Unique sites:
1 Sc 0.0000 0.0000 0.0000 [2 per cell]  2 Cr 2.77, 2 Sc 2.81, 8 Al 2.85
2 Al 0.2500 0.2500 0.5000 [4 per cell]  4 Al 2.77-2.81, 4 Cr 2.85, 4 Sc 2.85
3 Cr 0.0000 0.5000 0.0000 [2 per cell]  2 Sc 2.77, 2 Cr 2.81, 8 Al 2.85

***

(4)
A plane-wave DFT calculation with PBE was carried out for ScAl2Cr after structural relaxation.

Properties
The density of states at the Fermi level comes out at 6.201 states/eV per cell. As for the volume: 206 Å³ per cell. The energy relative to the lowest polymorph listed for this composition is 356 meV/atom.

Unit cell a=2.9560 b=2.9560 c=27.1936 alpha=90.00 beta=90.00 gamma=120.00
With the nearest neighbours (Å) after each atom.
Space group R3m (No. 160, hexagonal axes)
Unique sites:
1 Sc 0.0000 0.0000 0.0000 [3 per cell]  3 Cr 2.76, 6 Sc 2.96, 3 Al 3.06
2 Al 0.0000 0.0000 0.2398 [3 per cell]  9 Al 2.87-2.96, 3 Sc 3.06
3 Al 0.0000 0.0000 0.4884 [3 per cell]  3 Cr 2.67, 9 Al 2.87-2.96
4 Cr 0.0000 0.0000 0.7464 [3 per cell]  3 Al 2.67, 3 Sc 2.76, 6 Cr 2.96

***

(5)
A plane-wave DFT calculation with PBE was carried out for ScAlCr2 after structural relaxation.

Properties
The density of states at the Fermi level comes out at 6.402 states/eV per cell. For the total energy, the calculation gives -0.269 Ha/atom. As for the volume: 122 Å³ per cell.

Unit cell a=3.1373 b=4.4604 c=8.6936 alpha=90.00 beta=90.00 gamma=90.00
With the nearest neighbours (Å) after each atom.
Space group Imm2 (No. 44)
Unique sites:
1 Sc 0.0000 0.0000 0.0000 [2 per cell]  8 Cr 2.75-3.02, 4 Al 2.90-2.93
2 Al 0.0000 0.5000 0.7806 [2 per cell]  8 Cr 2.76-3.03, 4 Sc 2.90-2.93
3 Cr 0.0000 0.0000 0.5453 [2 per cell]  2 Cr 2.27
4 Cr 0.0000 0.5000 0.2346 [2 per cell]  2 Cr 2.27

***

(6)
A plane-wave DFT calculation with PBE was carried out for ScAl2Cr after structural relaxation.

Properties
The density of states at the Fermi level comes out at 6.659 states/eV per cell. As for the volume: 134 Å³ per cell. The energy relative to the lowest polymorph listed for this composition is 131 meV/atom.

Unit cell a=3.3178 b=4.4511 c=9.0628 alpha=90.00 beta=90.00 gamma=90.00
With the nearest neighbours (Å) after each atom.
Space group Imm2 (No. 44)
Unique sites:
1 Sc 0.0000 0.0000 0.0000 [2 per cell]  8 Al 2.78-3.07, 2 Cr 2.79
2 Al 0.0000 0.0000 0.5102 [2 per cell]  2 Cr 2.75, 2 Al 2.76, 4 Sc 2.78
3 Al 0.0000 0.5000 0.7672 [2 per cell]  2 Al 2.76, 4 Cr 2.78, 4 Sc 2.93-3.07
4 Cr 0.0000 0.5000 0.2529 [2 per cell]  6 Al 2.75-2.78, 2 Sc 2.79

***

(7)
A plane-wave DFT calculation with PBE was carried out for ScAl2Cr after structural relaxation.

Properties
The density of states at the Fermi level comes out at 5.341 states/eV per cell. As for the volume: 264 Å³ per cell. The energy relative to the lowest polymorph listed for this composition is 0 meV/atom.

Unit cell a=6.4111 b=6.4111 c=6.4111 alpha=90.00 beta=90.00 gamma=90.00
With the nearest neighbours (Å) after each atom.
Space group Fm-3m (No. 225)
Unique sites:
1 Sc 0.0000 0.0000 0.0000 [4 per cell]  8 Al 2.78
2 Al 0.2500 0.2500 0.2500 [8 per cell]  4 Cr 2.78, 4 Sc 2.78
3 Cr 0.0000 0.0000 0.5000 [4 per cell]  8 Al 2.78

***

(8)
A plane-wave DFT calculation with PBE was carried out for ScAlCr2 after structural relaxation.

Properties
The density of states at the Fermi level comes out at 2.818 states/eV per cell. For the total energy, the calculation gives -0.266 Ha/atom. As for the volume: 64 Å³ per cell.

Unit cell a=3.3447 b=4.3425 c=4.4167 alpha=90.00 beta=90.00 gamma=90.00
With the nearest neighbours (Å) after each atom.
Space group Pmmm (No. 47)
Unique sites:
1 Sc 0.0000 0.0000 0.0000 [1 per cell]  4 Cr 2.74, 4 Al 2.77
2 Al 0.5000 0.0000 0.5000 [1 per cell]  4 Cr 2.74, 4 Sc 2.77
3 Cr 0.0000 0.5000 0.5000 [1 per cell]  4 Al 2.74, 4 Cr 2.77
4 Cr 0.5000 0.5000 0.0000 [1 per cell]  4 Sc 2.74, 4 Cr 2.77